A plane-wave DFT calculation with PBE was carried out for crystalline Zn7PtAu2 at its relaxed geometry.

Values from the calculation:
Spin magnetization ... 0.00 μB/atom
Energy ... -2.376 eV/atom
Formation energy ... -21.69 kJ/mol of atoms

Cell lengths 4.3263, 4.3263, 10.6782 Å; angles 90.00, 90.00, 120.00 degrees
Sites, in units of the cell vectors:
Pt 0.0000 0.0000 0.0028
Au 0.6667 0.3333 0.3500
Zn 0.6667 0.3333 0.1080
Zn 0.6667 0.3333 0.5940
Zn 0.3333 0.6667 0.9743
Zn 0.3333 0.6667 0.4348
Au 0.3333 0.6667 0.6865
Zn 0.0000 0.0000 0.2493
Zn 0.0000 0.0000 0.7558
Zn 0.6667 0.3333 0.8612